{"formula": "LaHfTiAu2", "functional": "GGA-PBE", "state": "optimized geometry", "lattice_angstrom": [[5.2979, 0.0000, 0.0000], [0.0000, 5.4870, 0.0000], [0.0000, 0.0000, 5.2979]], "species": ["Hf", "Ti", "Au", "Au", "La"], "fractional_positions": [[0.0000, 0.5000, 0.0000], [0.5000, 0.5000, 0.5000], [0.0000, 0.0000, 0.5000], [0.5000, 0.0000, 0.0000], [0.0000, 0.0000, 0.0000]], "formation_enthalpy_0k_mev_per_atom": 1376.3, "total_magnetization_mub_per_fu": 0.108}

=====

{"formula": "La2HfVAu", "functional": "GGA-PBE", "state": "optimized geometry", "lattice_angstrom": [[5.3695, 0.0000, 0.0000], [0.0000, 4.8279, 0.0000], [0.0000, 0.0000, 5.3695]], "species": ["Au", "La", "La", "V", "Hf"], "fractional_positions": [[0.5000, 0.5000, 0.5000], [0.0000, 0.0000, 0.5000], [0.5000, 0.0000, 0.0000], [0.0000, 0.0000, 0.0000], [0.0000, 0.5000, 0.0000]], "formation_enthalpy_0k_mev_per_atom": 380.1, "total_magnetization_mub_per_fu": 0.000}

=====

{"formula": "Li2HfAu", "functional": "GGA-PBE", "state": "optimized geometry", "lattice_angstrom": [[7.4190, 0.0000, 0.0000], [0.0000, 7.4190, 0.0000], [3.7095, 3.7095, 2.7162]], "species": ["Au", "Au", "Li", "Li", "Li", "Li", "Hf", "Hf"], "fractional_positions": [[0.7500, 0.2500, 0.5000], [0.0000, 0.0000, 0.0000], [0.3750, 0.3339, 0.7500], [0.0839, 0.6250, 0.2500], [0.8750, 0.9161, 0.7500], [0.6661, 0.1250, 0.2500], [0.5000, 0.5000, 0.0000], [0.2500, 0.7500, 0.5000]], "de_polymorph_mev_per_atom": 185, "formation_enthalpy_0k_mev_per_atom": 158.5, "total_magnetization_mub_per_fu": 0.001}

=====

{"formula": "Li2HfAu3", "functional": "GGA-PBE", "state": "optimized geometry", "lattice_angstrom": [[-1.4139, -4.4070, 0.2760], [2.7070, 1.7826, 3.3267], [-9.0053, 3.2129, 5.6600]], "species": ["Au", "Au", "Au", "Au", "Au", "Au", "Hf", "Hf", "Li", "Li", "Li", "Li"], "fractional_positions": [[0.3327, 0.6659, 0.4127], [0.6690, 0.3358, 0.0810], [0.9993, 0.9993, 0.7489], [0.6673, 0.3341, 0.5873], [0.0007, 0.0007, 0.2511], [0.3310, 0.6642, 0.9190], [0.6667, 0.3332, 0.3304], [0.3333, 0.6668, 0.6696], [0.0000, 0.0000, 0.5000], [0.0000, 0.0000, 0.0000], [0.3348, 0.6682, 0.1597], [0.6652, 0.3318, 0.8403]], "formation_enthalpy_0k_mev_per_atom": -524.8, "total_magnetization_mub_per_fu": 0.000}

=====

{"formula": "Li2HfAu6", "functional": "GGA-PBE", "state": "optimized geometry", "lattice_angstrom": [[5.0003, 0.1238, 0.4886], [0.5945, 7.7913, 2.3805], [0.2222, -0.0005, 8.1654]], "species": ["Au", "Au", "Au", "Au", "Au", "Au", "Au", "Au", "Au", "Au", "Au", "Au", "Li", "Li", "Li", "Li", "Hf", "Hf"], "fractional_positions": [[0.5221, 0.3218, 0.5616], [0.9779, 0.4384, 0.6782], [0.8016, 0.0120, 0.7635], [0.6984, 0.2365, 0.9880], [0.1625, 0.3583, 0.0858], [0.8375, 0.6417, 0.9142], [0.3375, 0.9142, 0.6417], [0.6625, 0.0858, 0.3583], [0.1984, 0.9880, 0.2365], [0.4779, 0.6782, 0.4384], [0.3016, 0.7635, 0.0120], [0.0221, 0.5616, 0.3218], [0.0880, 0.2087, 0.4491], [0.5880, 0.4491, 0.2087], [0.4120, 0.5509, 0.7913], [0.9120, 0.7913, 0.5509], [0.2500, 0.1308, 0.8692], [0.7500, 0.8692, 0.1308]], "de_polymorph_mev_per_atom": 0, "formation_enthalpy_0k_mev_per_atom": -427.8, "total_magnetization_mub_per_fu": 0.000}

=====

{"formula": "LiHf2Au2", "functional": "GGA-PBE", "state": "optimized geometry", "lattice_angstrom": [[8.2683, 0.0000, 0.0000], [0.0000, 8.2683, 0.0000], [0.0000, 0.0000, 3.0107]], "species": ["Au", "Au", "Au", "Au", "Hf", "Hf", "Hf", "Hf", "Li", "Li"], "fractional_positions": [[0.6406, 0.8594, 0.5000], [0.3594, 0.1406, 0.5000], [0.8594, 0.3594, 0.5000], [0.1406, 0.6406, 0.5000], [0.8445, 0.6555, 0.0000], [0.6555, 0.1555, 0.0000], [0.1555, 0.3445, 0.0000], [0.3445, 0.8445, 0.0000], [0.5000, 0.5000, 0.0000], [0.0000, 0.0000, 0.0000]], "de_polymorph_mev_per_atom": 122, "formation_enthalpy_0k_mev_per_atom": -215.5, "total_magnetization_mub_per_fu": 0.000}

=====

{"formula": "LiHfAu3", "functional": "GGA-PBE", "state": "optimized geometry", "lattice_angstrom": [[4.4765, 0.0000, 0.0000], [0.0000, 4.4765, 0.0000], [0.0000, 0.0000, 4.4765]], "species": ["Li", "Au", "Au", "Au", "Hf"], "fractional_positions": [[0.0000, 0.0000, 0.0000], [0.0000, 0.5000, 0.0000], [0.0000, 0.0000, 0.5000], [0.5000, 0.0000, 0.0000], [0.5000, 0.5000, 0.5000]], "de_polymorph_mev_per_atom": 474, "formation_enthalpy_0k_mev_per_atom": 34.8, "total_magnetization_mub_per_fu": 0.000}

=====

{"formula": "LiHf2Au2", "functional": "GGA-PBE", "state": "optimized geometry", "lattice_angstrom": [[7.5950, 0.0000, 0.0000], [0.0000, 7.5950, 0.0000], [0.0000, 0.0000, 3.4780]], "species": ["Au", "Au", "Au", "Au", "Li", "Li", "Hf", "Hf", "Hf", "Hf"], "fractional_positions": [[0.3644, 0.8644, 0.0000], [0.8644, 0.6356, 0.0000], [0.1356, 0.3644, 0.0000], [0.6356, 0.1356, 0.0000], [0.0000, 0.0000, 0.0000], [0.5000, 0.5000, 0.0000], [0.8341, 0.3341, 0.5000], [0.3341, 0.1659, 0.5000], [0.1659, 0.6659, 0.5000], [0.6659, 0.8341, 0.5000]], "de_polymorph_mev_per_atom": 0, "formation_enthalpy_0k_mev_per_atom": -337.7, "total_magnetization_mub_per_fu": 0.000}

=====

{"formula": "Li2HfAu2", "functional": "GGA-PBE", "state": "optimized geometry", "lattice_angstrom": [[-1.8913, -3.0032, 0.5070], [2.3107, -1.8037, -2.0643], [4.0056, -3.8615, 4.7444]], "species": ["Li", "Li", "Au", "Au", "Hf"], "fractional_positions": [[0.2500, 0.7500, 0.5000], [0.7500, 0.2500, 0.5000], [0.3966, 0.3966, 0.2067], [0.6034, 0.6034, 0.7933], [0.0000, 0.0000, 0.0000]], "de_polymorph_mev_per_atom": 44, "formation_enthalpy_0k_mev_per_atom": -360.8, "total_magnetization_mub_per_fu": 0.000}

=====

{"formula": "LiHf2Au", "functional": "GGA-PBE", "state": "optimized geometry", "lattice_angstrom": [[7.6791, 0.0000, 0.0000], [0.0000, 7.6791, 0.0000], [3.8395, 3.8395, 2.7770]], "species": ["Hf", "Hf", "Hf", "Hf", "Li", "Li", "Au", "Au"], "fractional_positions": [[0.6405, 0.1250, 0.2500], [0.8750, 0.8905, 0.7500], [0.1095, 0.6250, 0.2500], [0.3750, 0.3595, 0.7500], [0.5000, 0.5000, 0.0000], [0.2500, 0.7500, 0.5000], [0.7500, 0.2500, 0.5000], [0.0000, 0.0000, 0.0000]], "de_polymorph_mev_per_atom": 250, "formation_enthalpy_0k_mev_per_atom": 205.8, "total_magnetization_mub_per_fu": 0.000}

=====

{"formula": "Li2HfAu2", "functional": "GGA-PBE", "state": "optimized geometry", "lattice_angstrom": [[-5.9366, -2.0314, 4.0745], [-1.2665, -5.6943, -4.6843], [1.6942, -1.7073, 1.6173]], "species": ["Au", "Au", "Au", "Au", "Hf", "Hf", "Li", "Li", "Li", "Li"], "fractional_positions": [[0.6887, 0.8113, 0.5000], [0.1887, 0.6887, 0.5000], [0.3113, 0.1887, 0.5000], [0.8113, 0.3113, 0.5000], [0.5000, 0.5000, 0.0000], [0.0000, 0.0000, 0.0000], [0.6109, 0.1109, 0.0000], [0.8891, 0.6109, 0.0000], [0.1109, 0.3891, 0.0000], [0.3891, 0.8891, 0.0000]], "de_polymorph_mev_per_atom": 0, "formation_enthalpy_0k_mev_per_atom": -404.6, "total_magnetization_mub_per_fu": 0.000}

=====

{"formula": "Li3HfAu3", "functional": "GGA-PBE", "state": "optimized geometry", "lattice_angstrom": [[7.8157, 0.0000, 0.0000], [0.0000, 7.8157, 0.0000], [0.0000, 0.0000, 7.8157]], "species": ["Au", "Au", "Au", "Au", "Au", "Au", "Au", "Au", "Au", "Au", "Au", "Au", "Li", "Li", "Li", "Li", "Li", "Li", "Li", "Li", "Li", "Li", "Li", "Li", "Hf", "Hf", "Hf", "Hf"], "fractional_positions": [[0.4552, 0.2909, 0.1302], [0.2091, 0.8698, 0.9552], [0.3698, 0.5448, 0.7909], [0.2909, 0.1302, 0.4552], [0.9552, 0.2091, 0.8698], [0.0448, 0.7091, 0.6302], [0.5448, 0.7909, 0.3698], [0.6302, 0.0448, 0.7091], [0.7091, 0.6302, 0.0448], [0.7909, 0.3698, 0.5448], [0.8698, 0.9552, 0.2091], [0.1302, 0.4552, 0.2909], [0.3548, 0.8548, 0.6452], [0.1939, 0.8061, 0.3061], [0.6939, 0.6939, 0.6939], [0.3819, 0.6181, 0.1181], [0.8061, 0.3061, 0.1939], [0.3061, 0.1939, 0.8061], [0.6452, 0.3548, 0.8548], [0.1452, 0.1452, 0.1452], [0.1181, 0.3819, 0.6181], [0.8548, 0.6452, 0.3548], [0.8819, 0.8819, 0.8819], [0.6181, 0.1181, 0.3819], [0.4586, 0.4586, 0.4586], [0.9586, 0.0414, 0.5414], [0.5414, 0.9586, 0.0414], [0.0414, 0.5414, 0.9586]], "formation_enthalpy_0k_mev_per_atom": -394.2, "total_magnetization_mub_per_fu": 0.000}

=====

{"formula": "Li3Hf2Au8", "functional": "GGA-PBE", "state": "optimized geometry", "lattice_angstrom": [[-4.4206, -1.4416, -1.3679], [-3.4549, -0.1820, 6.3113], [-3.4087, 6.3032, -0.6726]], "species": ["Hf", "Hf", "Au", "Au", "Au", "Au", "Au", "Au", "Au", "Au", "Li", "Li", "Li"], "fractional_positions": [[0.6375, 0.7049, 0.7049], [0.3625, 0.2951, 0.2951], [0.4230, 0.9017, 0.3689], [0.0451, 0.8555, 0.8555], [0.2058, 0.5705, 0.5705], [0.9549, 0.1445, 0.1445], [0.5770, 0.0983, 0.6311], [0.7942, 0.4295, 0.4295], [0.4230, 0.3689, 0.9017], [0.5770, 0.6311, 0.0983], [0.5000, 0.0000, 0.0000], [0.0000, 0.2412, 0.7588], [0.0000, 0.7588, 0.2412]], "formation_enthalpy_0k_mev_per_atom": -425.1, "total_magnetization_mub_per_fu": 0.000}

=====

{"formula": "Li2HfAu", "functional": "GGA-PBE", "state": "optimized geometry", "lattice_angstrom": [[-2.4433, 0.4054, 1.5607], [-2.2226, -1.8897, -0.2430], [2.3161, -6.0118, 7.9330]], "species": ["Li", "Li", "Au", "Hf"], "fractional_positions": [[0.0956, 0.0956, 0.7131], [0.9044, 0.9044, 0.2869], [0.5000, 0.5000, 0.5000], [0.0000, 0.0000, 0.0000]], "de_polymorph_mev_per_atom": 39, "formation_enthalpy_0k_mev_per_atom": 12.6, "total_magnetization_mub_per_fu": 0.000}

=====

{"formula": "Li2HfAu6", "functional": "GGA-PBE", "state": "optimized geometry", "lattice_angstrom": [[-1.0698, 0.6615, -4.2491], [6.0891, -1.3765, -1.7474], [-4.2626, -5.4543, 1.4680]], "species": ["Au", "Au", "Au", "Au", "Au", "Au", "Hf", "Li", "Li"], "fractional_positions": [[0.8387, 0.1044, 0.6644], [0.8387, 0.5600, 0.6644], [0.1613, 0.8956, 0.3356], [0.5000, 0.7340, 0.0000], [0.5000, 0.2660, 0.0000], [0.1613, 0.4400, 0.3356], [0.0000, 0.0000, 0.0000], [0.3327, 0.3209, 0.6419], [0.6673, 0.6791, 0.3581]], "de_polymorph_mev_per_atom": 141, "formation_enthalpy_0k_mev_per_atom": -286.9, "total_magnetization_mub_per_fu": 0.000}

=====

{"formula": "Li2HfAu", "functional": "GGA-PBE", "state": "optimized geometry", "lattice_angstrom": [[-0.9039, -0.3032, 4.3397], [0.4301, 3.5675, 2.6134], [-3.6112, 1.9854, 1.6612]], "species": ["Hf", "Li", "Li", "Au"], "fractional_positions": [[0.0000, 0.0000, 0.0000], [0.2500, 0.2500, 0.2500], [0.7500, 0.7500, 0.7500], [0.5000, 0.5000, 0.5000]], "de_polymorph_mev_per_atom": 0, "formation_enthalpy_0k_mev_per_atom": -26.0, "total_magnetization_mub_per_fu": 0.000}

=====

{"formula": "LiHfAu3", "functional": "GGA-PBE", "state": "optimized geometry", "lattice_angstrom": [[5.2576, 0.0000, 0.0000], [0.0000, 5.2576, 0.0000], [0.0000, 0.0000, 5.2576]], "species": ["Au", "Au", "Au", "Li", "Hf"], "fractional_positions": [[0.0000, 0.0000, 0.5000], [0.0000, 0.5000, 0.0000], [0.5000, 0.0000, 0.0000], [0.5000, 0.5000, 0.5000], [0.0000, 0.0000, 0.0000]], "de_polymorph_mev_per_atom": 733, "formation_enthalpy_0k_mev_per_atom": 294.1, "total_magnetization_mub_per_fu": 0.000}

=====

{"formula": "Li2HfAu2", "functional": "GGA-PBE", "state": "optimized geometry", "lattice_angstrom": [[-6.8523, 2.2788, -0.1259], [-1.8458, -5.7677, -3.9358], [-0.6335, -1.7470, 2.8572]], "species": ["Li", "Li", "Li", "Li", "Au", "Au", "Au", "Au", "Hf", "Hf"], "fractional_positions": [[0.6505, 0.8495, 0.5000], [0.3495, 0.1505, 0.5000], [0.8495, 0.3495, 0.5000], [0.1505, 0.6505, 0.5000], [0.8570, 0.6430, 0.0000], [0.6430, 0.1430, 0.0000], [0.1430, 0.3570, 0.0000], [0.3570, 0.8570, 0.0000], [0.0000, 0.0000, 0.0000], [0.5000, 0.5000, 0.0000]], "de_polymorph_mev_per_atom": 114, "formation_enthalpy_0k_mev_per_atom": -290.3, "total_magnetization_mub_per_fu": 0.000}

=====

{"formula": "Li5HfAu6", "functional": "GGA-PBE", "state": "optimized geometry", "lattice_angstrom": [[-3.2397, 2.3828, -2.2073], [-4.3945, -2.8500, 3.3733], [-1.2004, 6.1443, 3.6273]], "species": ["Au", "Au", "Au", "Au", "Au", "Au", "Li", "Li", "Li", "Li", "Li", "Hf"], "fractional_positions": [[0.5000, 0.7411, 0.0000], [0.1674, 0.7401, 0.6652], [0.1674, 0.2599, 0.6652], [0.8326, 0.7401, 0.3348], [0.5000, 0.2589, 0.0000], [0.8326, 0.2599, 0.3348], [0.0000, 0.5000, 0.0000], [0.6627, 0.5000, 0.6746], [0.3373, 0.5000, 0.3254], [0.6714, 0.0000, 0.6573], [0.3286, 0.0000, 0.3427], [0.0000, 0.0000, 0.0000]], "formation_enthalpy_0k_mev_per_atom": -537.9, "total_magnetization_mub_per_fu": 0.000}

=====

{"formula": "LiHfAu3", "functional": "GGA-PBE", "state": "optimized geometry", "lattice_angstrom": [[-3.0258, 2.7731, 3.9478], [-4.0787, -2.2827, -1.5227], [4.9230, -5.2685, 2.6464]], "species": ["Au", "Au", "Au", "Au", "Au", "Au", "Li", "Li", "Hf", "Hf"], "fractional_positions": [[0.7604, 0.0041, 0.0082], [0.3315, 0.6170, 0.2340], [0.7681, 0.2040, 0.4080], [0.2319, 0.7960, 0.5920], [0.6685, 0.3830, 0.7660], [0.2396, 0.9959, 0.9918], [0.7470, 0.8130, 0.6261], [0.2530, 0.1870, 0.3739], [0.1976, 0.4007, 0.8015], [0.8024, 0.5993, 0.1985]], "de_polymorph_mev_per_atom": 0, "formation_enthalpy_0k_mev_per_atom": -439.3, "total_magnetization_mub_per_fu": 0.000}